1.
Compound: ReTcMo2
Source: Alexandria
Functional: PBE
Structure: optimized geometry

Structure (extended XYZ):
```
4
Lattice="-4.238 2.251 0.727 -3.653 -3.173 -0.377 4.129 -0.074 2.550" Properties=species:S:1:pos:R:3 pbc="T T T"
Re -3.946 -0.461 0.175
Tc -2.027 0.858 1.726
Mo 0.000 0.000 0.000
Mo -1.735 -1.854 1.174
```

Properties
M_tot = 0.00 μB per cell
Excess energy over the best structure of this formula in the dataset = 0.46 eV per formula unit
DFT formation energy = 0.199 eV/atom
Fermi-level density of states = 0.96 states/eV/atom
Electronic total energy = -10.9202 eV/atom
Space group = No. 119


2.
Compound: Re2TcMo
Source: Alexandria
Functional: PBE
Structure: optimized geometry

Structure (extended XYZ):
```
4
Lattice="-3.915 1.586 -0.858 -1.122 -1.934 1.546 -0.154 2.236 4.837" Properties=species:S:1:pos:R:3 pbc="T T T"
Tc -0.726 0.003 3.321
Re -1.042 -1.789 1.450
Re -2.260 0.892 1.132
Mo -2.924 0.998 4.360
```

Properties
M_tot = 0.00 μB per cell
Excess energy over the best structure of this formula in the dataset = 0.19 eV per formula unit
DFT formation energy = 0.154 eV/atom
Fermi-level density of states = 0.94 states/eV/atom
Electronic total energy = -11.3695 eV/atom
Space group = No. 6


3.
Compound: ReTcMo
Source: Alexandria
Functional: PBE
Structure: optimized geometry

Structure (extended XYZ):
```
3
Lattice="-3.358 4.639 -2.613 -4.084 1.345 -4.597 2.232 -3.390 4.811" Properties=species:S:1:pos:R:3 pbc="T T T"
Mo -0.004 0.004 -0.004
Tc -5.011 4.029 -4.855
Re -2.426 1.950 -2.350
```

Properties
M_tot = 0.00 μB per cell
Excess energy over the best structure of this formula in the dataset = 0.00 eV per formula unit
DFT formation energy = 0.112 eV/atom
Fermi-level density of states = 0.84 states/eV/atom
Electronic total energy = -11.1034 eV/atom
Space group = No. 107


4.
Compound: ReTc2Mo
Source: Alexandria
Functional: PBE
Structure: optimized geometry

Structure (extended XYZ):
```
4
Lattice="-4.667 -0.397 -2.194 -0.389 -3.020 -4.181 1.286 0.152 5.008" Properties=species:S:1:pos:R:3 pbc="T T T"
Re -0.872 -2.326 -1.250
Mo -2.503 -1.692 -3.156
Tc -2.894 -0.936 -0.110
Tc -0.030 -0.021 -0.038
```

Properties
M_tot = 0.00 μB per cell
Excess energy over the best structure of this formula in the dataset = 0.19 eV per formula unit
DFT formation energy = 0.156 eV/atom
Fermi-level density of states = 1.00 states/eV/atom
Electronic total energy = -10.8466 eV/atom
Space group = No. 44


5.
Compound: Re2TcMo
Source: Alexandria
Functional: PBE
Structure: optimized geometry

Structure (extended XYZ):
```
4
Lattice="4.827 -0.001 -0.003 4.029 2.659 -0.003 0.786 0.236 4.720" Properties=species:S:1:pos:R:3 pbc="T T T"
Tc 7.232 2.170 3.535
Re 0.823 0.247 4.692
Mo 2.411 0.723 1.178
Re 4.785 1.436 2.384
```

Properties
M_tot = 0.00 μB per cell
Excess energy over the best structure of this formula in the dataset = 0.00 eV per formula unit
DFT formation energy = 0.107 eV/atom
Fermi-level density of states = 0.79 states/eV/atom
Electronic total energy = -11.4162 eV/atom
Space group = No. 12


6.
Compound: ReTc3Mo
Source: Alexandria
Functional: PBE
Structure: optimized geometry

Structure (extended XYZ):
```
5
Lattice="-3.523 1.265 -2.594 -2.778 -0.376 3.589 0.783 4.359 1.063" Properties=species:S:1:pos:R:3 pbc="T T T"
Tc 0.391 2.180 0.531
Re -2.759 2.624 1.029
Tc -1.389 -0.188 1.795
Tc -1.762 0.632 -1.297
Mo 0.000 0.000 0.000
```

Properties
M_tot = 0.00 μB per cell
Excess energy over the best structure of this formula in the dataset = 9.49 eV per formula unit
DFT formation energy = 2.105 eV/atom
Fermi-level density of states = 1.73 states/eV/atom
Electronic total energy = -8.7709 eV/atom
Space group = No. 221


7.
Compound: ReTc2Mo
Source: Alexandria
Functional: PBE
Structure: optimized geometry

Structure (extended XYZ):
```
4
Lattice="2.704 -0.009 0.000 -0.921 2.542 0.000 0.000 0.000 8.795" Properties=species:S:1:pos:R:3 pbc="T T T"
Re 0.892 1.267 6.596
Tc 0.000 0.000 8.788
Mo 0.892 1.267 2.199
Tc 0.000 0.000 4.404
```

Properties
M_tot = 0.00 μB per cell
Excess energy over the best structure of this formula in the dataset = 0.32 eV per formula unit
DFT formation energy = 0.191 eV/atom
Fermi-level density of states = 1.17 states/eV/atom
Electronic total energy = -10.8121 eV/atom
Space group = No. 65


8.
Compound: ReTc3Mo
Source: Alexandria
Functional: PBE
Structure: optimized geometry

Structure (extended XYZ):
```
10
Lattice="0.683 -4.895 0.755 0.997 -2.880 -4.081 7.095 -1.845 1.634" Properties=species:S:1:pos:R:3 pbc="T T T"
Re 5.441 -3.728 -0.718
Tc 8.249 -7.091 -0.838
Mo 5.662 -7.448 -2.438
Re 3.334 -5.892 -0.973
Tc 6.929 -4.953 -2.587
Tc 2.905 -3.484 -1.488
Mo 3.114 -2.172 0.746
Tc 5.871 -6.135 -0.204
Tc 0.526 -2.528 -0.853
Tc 1.847 -4.667 0.895
```

Properties
M_tot = 0.00 μB per cell
Excess energy over the best structure of this formula in the dataset = 0.00 eV per formula unit
DFT formation energy = 0.207 eV/atom
Fermi-level density of states = 0.75 states/eV/atom
Electronic total energy = -10.6689 eV/atom
Space group = No. 2


9.
Compound: ReTc2Mo
Source: Alexandria
Functional: PBE
Structure: optimized geometry

Structure (extended XYZ):
```
4
Lattice="4.311 0.000 0.000 0.000 2.715 -0.010 0.000 1.230 5.163" Properties=species:S:1:pos:R:3 pbc="T T T"
Tc 2.156 1.194 1.296
Re 2.156 2.774 3.886
Mo 0.000 1.996 2.566
Tc 0.000 3.898 5.136
```

Properties
M_tot = 0.00 μB per cell
Excess energy over the best structure of this formula in the dataset = 0.11 eV per formula unit
DFT formation energy = 0.137 eV/atom
Fermi-level density of states = 0.97 states/eV/atom
Electronic total energy = -10.8663 eV/atom
Space group = No. 6


10.
Compound: Re2TcMo
Source: Alexandria
Functional: PBE
Structure: optimized geometry

Structure (extended XYZ):
```
4
Lattice="-0.982 2.578 0.282 -2.547 -1.016 0.414 1.392 -0.319 7.779" Properties=species:S:1:pos:R:3 pbc="T T T"
Re 0.012 -0.003 0.064
Re -1.415 0.701 2.299
Mo -0.721 0.542 6.178
Tc 0.684 -0.157 3.823
```

Properties
M_tot = 0.00 μB per cell
Excess energy over the best structure of this formula in the dataset = 0.04 eV per formula unit
DFT formation energy = 0.118 eV/atom
Fermi-level density of states = 0.91 states/eV/atom
Electronic total energy = -11.4055 eV/atom
Space group = No. 99


11.
Compound: Re2TcMo
Source: Alexandria
Functional: PBE
Structure: optimized geometry

Structure (extended XYZ):
```
4
Lattice="5.171 -0.003 -0.001 2.337 4.613 0.001 -3.277 -3.082 2.550" Properties=species:S:1:pos:R:3 pbc="T T T"
Re 2.875 -0.359 1.275
Re 0.053 0.033 0.000
Tc 3.697 2.270 0.000
Mo 1.360 1.889 1.275
```

Properties
M_tot = 0.00 μB per cell
Excess energy over the best structure of this formula in the dataset = 0.29 eV per formula unit
DFT formation energy = 0.179 eV/atom
Fermi-level density of states = 0.99 states/eV/atom
Electronic total energy = -11.3441 eV/atom
Space group = No. 44


12.
Compound: ReTcMo2
Source: Alexandria
Functional: PBE
Structure: optimized geometry

Structure (extended XYZ):
```
4
Lattice="-0.557 4.982 1.349 -1.522 0.968 4.868 3.646 -2.244 -2.937" Properties=species:S:1:pos:R:3 pbc="T T T"
Re -1.057 3.024 3.160
Mo 1.018 2.876 0.781
Mo -2.063 5.904 6.169
Tc 0.550 0.828 2.497
```

Properties
M_tot = 0.00 μB per cell
Excess energy over the best structure of this formula in the dataset = 0.00 eV per formula unit
DFT formation energy = 0.084 eV/atom
Fermi-level density of states = 0.82 states/eV/atom
Electronic total energy = -11.0351 eV/atom
Space group = No. 44